[1]
# BiSb2HAu (PBE, relaxed)
data_BiSb2HAu
_cell_length_a 5.690
_cell_length_b 5.690
_cell_length_c 3.535
_cell_angle_alpha 90.00
_cell_angle_beta 90.00
_cell_angle_gamma 90.00
_space_group_name_H-M_alt 'P 4/m m m'
_space_group_IT_number 123
_space_group_name_Hall '-P 4 2'
loop_
_atom_site_label
_atom_site_type_symbol
_atom_site_fract_x
_atom_site_fract_y
_atom_site_fract_z
_atom_site_occupancy
Bi1 Bi 0.000 0.000 0.000 1
Sb1 Sb 0.000 0.500 0.500 1
H1 H 0.500 0.500 0.000 1
Au1 Au 0.500 0.500 0.500 1
# Theoretical density, g/cm3: 9.44
# Magnetic moment, μB per atom: 0.00



[2]
# Sm3Y2Tl3 (PBE, relaxed)
data_Sm3Y2Tl3
_cell_length_a 4.436
_cell_length_b 5.049
_cell_length_c 21.081
_cell_angle_alpha 90.00
_cell_angle_beta 90.00
_cell_angle_gamma 90.00
_space_group_name_H-M_alt 'I m m m'
_space_group_IT_number 71
_space_group_name_Hall '-I 2 2'
loop_
_atom_site_label
_atom_site_type_symbol
_atom_site_fract_x
_atom_site_fract_y
_atom_site_fract_z
_atom_site_occupancy
Sm1 Sm 0.000 0.000 0.000 1
Sm2 Sm 0.000 0.500 0.119 1
Y1 Y 0.000 0.000 0.237 1
Tl1 Tl 0.000 0.000 0.500 1
Tl2 Tl 0.000 0.500 0.371 1
# Energy of formation, eV per atom: -0.27
# Theoretical density, g/cm3: 8.74
# Magnetic moment, μB per atom: 0.08



[3]
# MgSc3Au2 (PBE, relaxed)
data_MgSc3Au2
_cell_length_a 4.645
_cell_length_b 8.493
_cell_length_c 6.399
_cell_angle_alpha 90.00
_cell_angle_beta 90.00
_cell_angle_gamma 90.00
_space_group_name_H-M_alt 'P m c 21'
_space_group_IT_number 26
_space_group_name_Hall 'P 2c -2'
loop_
_atom_site_label
_atom_site_type_symbol
_atom_site_fract_x
_atom_site_fract_y
_atom_site_fract_z
_atom_site_occupancy
Mg1 Mg 0.000 0.055 0.000 1
Sc1 Sc 0.000 0.318 0.636 1
Sc2 Sc 0.500 0.174 0.304 1
Sc3 Sc 0.500 0.445 0.953 1
Au1 Au 0.000 0.359 0.211 1
Au2 Au 0.500 0.150 0.733 1
# Energy of formation, eV per atom: -0.62
# Theoretical density, g/cm3: 7.28
# Magnetic moment, μB per atom: 0.00



[4]
# PtCSe2N (PBE, relaxed)
data_PtCSe2N
_cell_length_a 5.166
_cell_length_b 5.166
_cell_length_c 3.648
_cell_angle_alpha 90.00
_cell_angle_beta 90.00
_cell_angle_gamma 90.00
_space_group_name_H-M_alt 'P 4/m m m'
_space_group_IT_number 123
_space_group_name_Hall '-P 4 2'
loop_
_atom_site_label
_atom_site_type_symbol
_atom_site_fract_x
_atom_site_fract_y
_atom_site_fract_z
_atom_site_occupancy
Pt1 Pt 0.000 0.000 0.000 1
C1 C 0.500 0.500 0.500 1
Se1 Se 0.000 0.500 0.000 1
N1 N 0.000 0.000 0.500 1
# Uncorrected formation energy, eV/atom: 1.90
# Theoretical density, g/cm3: 6.46
# Energy above the lowest structure with this stoichiometry, meV per atom: 1017
# Magnetic moment, μB per atom: 0.06



[5]
# InTc2Cl (PBE, relaxed)
data_InTc2Cl
_cell_length_a 2.932
_cell_length_b 5.268
_cell_length_c 8.916
_cell_angle_alpha 90.00
_cell_angle_beta 90.00
_cell_angle_gamma 90.00
_space_group_name_H-M_alt 'C m m m'
_space_group_IT_number 65
_space_group_name_Hall '-C 2 2'
loop_
_atom_site_label
_atom_site_type_symbol
_atom_site_fract_x
_atom_site_fract_y
_atom_site_fract_z
_atom_site_occupancy
In1 In 0.000 0.000 0.000 1
Tc1 Tc 0.000 0.500 0.266 1
Cl1 Cl 0.000 0.000 0.500 1
# Uncorrected formation energy, eV/atom: 0.65
# Theoretical density, g/cm3: 8.35
# Energy above the lowest structure with this stoichiometry, meV per atom: 673
# Magnetic moment, μB per atom: 0.55



[6]
# Ce6In2Au (PBE, relaxed)
data_Ce6In2Au
_cell_length_a 9.1173
_cell_length_b 9.1173
_cell_length_c 3.0320
_cell_angle_alpha 90.00
_cell_angle_beta 90.00
_cell_angle_gamma 120.00
_space_group_name_H-M_alt 'P 6/m m m'
_space_group_IT_number 191
_space_group_name_Hall '-P 6 2'
loop_
_atom_site_label
_atom_site_type_symbol
_atom_site_fract_x
_atom_site_fract_y
_atom_site_fract_z
_atom_site_occupancy
Ce1 Ce 0.0000 0.3176 0.0000 1
In1 In 0.3333 0.6667 0.5000 1
Au1 Au 0.0000 0.0000 0.5000 1
# Energy of formation, eV per atom: -0.25
# Theoretical density, g/cm3: 9.64
# Magnetic moment, μB per atom: 0.30



[7]
# CoH2Pt2 (PBE, relaxed)
data_CoH2Pt2
_cell_length_a 2.837
_cell_length_b 2.837
_cell_length_c 12.395
_cell_angle_alpha 90.00
_cell_angle_beta 90.00
_cell_angle_gamma 90.00
_space_group_name_H-M_alt 'I 4/m m m'
_space_group_IT_number 139
_space_group_name_Hall '-I 4 2'
loop_
_atom_site_label
_atom_site_type_symbol
_atom_site_fract_x
_atom_site_fract_y
_atom_site_fract_z
_atom_site_occupancy
Co1 Co 0.000 0.000 0.000 1
H1 H 0.000 0.500 0.250 1
Pt1 Pt 0.000 0.000 0.358 1
# Theoretical density, g/cm3: 15.02
# Energy above the lowest structure with this stoichiometry, meV per atom: 58
# Magnetic moment, μB per atom: 0.46



[8]
# LaAgGeW2 (PBE, relaxed)
data_LaAgGeW2
_cell_length_a 4.705
_cell_length_b 4.705
_cell_length_c 5.549
_cell_angle_alpha 90.00
_cell_angle_beta 90.00
_cell_angle_gamma 90.00
_space_group_name_H-M_alt 'P 4/m m m'
_space_group_IT_number 123
_space_group_name_Hall '-P 4 2'
loop_
_atom_site_label
_atom_site_type_symbol
_atom_site_fract_x
_atom_site_fract_y
_atom_site_fract_z
_atom_site_occupancy
La1 La 0.000 0.000 0.000 1
Ag1 Ag 0.500 0.500 0.000 1
Ge1 Ge 0.000 0.000 0.500 1
W1 W 0.000 0.500 0.500 1
# Energy of formation, eV per atom: 1.23
# Theoretical density, g/cm3: 9.29
# Magnetic moment, μB per atom: 0.00



[9]
# La4Pm2DyEr (PBE, relaxed)
data_La4Pm2DyEr
_cell_length_a 5.217
_cell_length_b 5.255
_cell_length_c 10.152
_cell_angle_alpha 90.00
_cell_angle_beta 90.05
_cell_angle_gamma 90.00
_space_group_name_H-M_alt 'P 1 2/m 1'
_space_group_IT_number 10
_space_group_name_Hall '-P 2y'
loop_
_atom_site_label
_atom_site_type_symbol
_atom_site_fract_x
_atom_site_fract_y
_atom_site_fract_z
_atom_site_occupancy
La1 La 0.000 0.000 0.250 1
La2 La 0.499 0.500 0.249 1
Pm1 Pm 0.000 0.500 0.500 1
Pm2 Pm 0.500 0.000 0.000 1
Dy1 Dy 0.500 0.000 0.500 1
Er1 Er 0.000 0.500 0.000 1
# Energy of formation, eV per atom: 0.02
# Theoretical density, g/cm3: 7.01
# Magnetic moment, μB per atom: 0.00



[10]
# BaY4Ta (PBE, relaxed)
data_BaY4Ta
_cell_length_a 9.236
_cell_length_b 9.236
_cell_length_c 9.236
_cell_angle_alpha 90.00
_cell_angle_beta 90.00
_cell_angle_gamma 90.00
_space_group_name_H-M_alt 'F -4 3 m'
_space_group_IT_number 216
_space_group_name_Hall 'F -4 2 3'
loop_
_atom_site_label
_atom_site_type_symbol
_atom_site_fract_x
_atom_site_fract_y
_atom_site_fract_z
_atom_site_occupancy
Ba1 Ba 0.000 0.000 0.000 1
Y1 Y 0.121 0.121 0.379 1
Ta1 Ta 0.250 0.250 0.750 1
# Energy of formation, eV per atom: 0.82
# Theoretical density, g/cm3: 5.68
# Magnetic moment, μB per atom: 0.41



[11]
# CdAsN2 (PBE, relaxed)
data_CdAsN2
_cell_length_a 4.969
_cell_length_b 4.969
_cell_length_c 9.684
_cell_angle_alpha 90.00
_cell_angle_beta 90.00
_cell_angle_gamma 90.00
_space_group_name_H-M_alt 'I -4 2 d'
_space_group_IT_number 122
_space_group_name_Hall 'I -4 2bw'
loop_
_atom_site_label
_atom_site_type_symbol
_atom_site_fract_x
_atom_site_fract_y
_atom_site_fract_z
_atom_site_occupancy
Cd1 Cd 0.000 0.000 0.000 1
As1 As 0.000 0.000 0.500 1
N1 N 0.190 0.250 0.625 1
# Uncorrected formation energy, eV/atom: 0.57
# Theoretical density, g/cm3: 5.98
# Energy above the lowest structure with this stoichiometry, meV per atom: 0
# Magnetic moment, μB per atom: 0.00



[12]
# Rb6TeI2O (PBE, relaxed)
data_Rb6TeI2O
_cell_length_a 8.328
_cell_length_b 12.369
_cell_length_c 9.667
_cell_angle_alpha 90.00
_cell_angle_beta 90.00
_cell_angle_gamma 90.00
_space_group_name_H-M_alt 'P m m n'
_space_group_IT_number 59
loop_
_space_group_symop_operation_xyz
'x,y,z'
'-x,-y,-z'
'-x+1/2,-y+1/2,z'
'x+1/2,y+1/2,-z'
'x+1/2,-y,-z'
'-x+1/2,y,z'
'-x,y+1/2,-z'
'x,-y+1/2,z'
loop_
_atom_site_label
_atom_site_type_symbol
_atom_site_fract_x
_atom_site_fract_y
_atom_site_fract_z
_atom_site_occupancy
Rb1 Rb 0.006 0.250 0.113 1
Rb2 Rb 0.021 0.750 0.479 1
Rb3 Rb 0.250 0.524 0.704 1
Te1 Te 0.250 0.250 0.813 1
I1 I 0.250 0.040 0.329 1
O1 O 0.250 0.750 0.702 1
# Uncorrected formation energy, eV/atom: -1.13
# Theoretical density, g/cm3: 3.04
# Magnetic moment, μB per atom: 0.00



Number 1: E_tot -3.61 eV per atom. Number 2: E_tot -4.54 eV per atom. Number 3: E_tot -5.15 eV per atom. Number 4: E_tot -4.21 eV per atom. Number 5: E_tot -5.68 eV per atom. Number 6: E_tot -5.18 eV per atom. Number 7: E_tot -5.05 eV per atom. Number 8: E_tot -6.43 eV per atom. Number 9: E_tot -4.78 eV per atom. Number 10: E_tot -5.78 eV per atom. Number 11: E_tot -4.99 eV per atom. Number 12: E_tot -2.83 eV per atom.